Here is a geometry-optimized NpCu2Br6 structure from the Alexandria database. Energies are from PBE.

Calculated values
Magnetization (Bohr magnetons per cell): 6.0
Excess energy over the best structure of this formula in the dataset (meV per atom): 0
Crystal system: monoclinic

Cell: 8.0352 6.6292 13.8053 Å, 67.17 90.00 90.00°
Closest atoms and distances in Å follow each position.
Sites, in units of the cell vectors:
Cu1 0.3667 0.9949 0.9371  3 Br 2.36-2.37
Cu2 0.6333 0.0051 0.0629  3 Br 2.36-2.37
Cu3 0.8667 0.0051 0.5629  3 Br 2.36-2.37
Cu4 0.1333 0.9949 0.4371  3 Br 2.36-2.37
Br1 0.7538 0.3091 0.9259  1 Cu 2.37
Br2 0.9656 0.8908 0.3228  1 Cu 2.37
Br3 0.7395 0.6483 0.1082  1 Cu 2.36
Br4 0.2605 0.3517 0.8918  1 Cu 2.36
Br5 0.7462 0.3091 0.4259  1 Cu 2.37
Br6 0.2538 0.6909 0.5741  1 Cu 2.37
Br7 0.7605 0.6483 0.6082  1 Cu 2.36
Br8 0.2462 0.6909 0.0741  1 Cu 2.37
Br9 0.4656 0.1092 0.1772  1 Cu 2.37
Br10 0.2395 0.3517 0.3918  1 Cu 2.36
Br11 0.5344 0.8908 0.8228  1 Cu 2.37
Br12 0.0344 0.1092 0.6772  1 Cu 2.37
Np1 0.5000 0.5000 0.0000  6 Br 2.79-2.84
Np2 0.0000 0.5000 0.5000  6 Br 2.79-2.84